1.
SnP2RuBr after structural relaxation. Source: Alexandria via LeMat-Bulk, functional PBE-GGA.

abc: 5.0219 5.3993 5.0219
angles: 90.00 90.00 90.00
Fractional coordinates of all 5 atoms:
P1 0.0000 0.0000 0.5000
P2 0.5000 0.0000 0.0000
Ru1 0.5000 0.5000 0.5000
Br1 0.0000 0.5000 0.0000
Sn1 0.0000 0.0000 0.0000

Properties
The calculation puts the electronic total energy at -3.6546 eV/atom. For the formation energy (no corrections), the calculation gives 1.500 eV per atom. The calculation puts the density of states at the Fermi level at 5.98 states/eV/f.u. The value obtained for the calculated volume is 27.2 A^3/atom. The size of the total moment is 3.63 μB/f.u.

2.
Ac2Al3Ge2 after structural relaxation. Source: Alexandria via LeMat-Bulk, functional PBE-GGA.

abc: 4.3666 3.9824 10.8288
angles: 100.60 90.00 90.00
Fractional coordinates of all 7 atoms:
Al1 0.0000 0.0000 0.0000
Al2 0.5000 0.4388 0.8776
Ge1 0.5000 0.2876 0.5751
Ac1 0.0000 0.1586 0.3172
Ac2 0.0000 0.8414 0.6828
Al3 0.5000 0.5612 0.1224
Ge2 0.5000 0.7124 0.4249

Properties
The calculation puts the electronic total energy at -4.3140 eV/atom. As for the formation energy: -0.2169 eV/atom. The calculation puts the density of states at the Fermi level at 4.10 states/eV/f.u. The value obtained for the calculated volume is 26.4 A^3/atom. The energy above the most stable polymorph in this dataset comes out at 273 meV/atom. The size of the total moment is 0.00 μB/f.u.

3.
NaNd3N after structural relaxation. Source: Alexandria via LeMat-Bulk, functional PBE-GGA.

abc: 5.1434 5.1434 5.1434
angles: 90.00 90.00 90.00
Fractional coordinates of all 5 atoms:
Nd1 0.0000 0.5000 0.0000
N1 0.0000 0.0000 0.0000
Na1 0.5000 0.5000 0.5000
Nd2 0.5000 0.0000 0.0000
Nd3 0.0000 0.0000 0.5000

Properties
The calculation puts the electronic total energy at -5.1288 eV/atom. For the formation energy (no corrections), the calculation gives -0.339 eV per atom. The calculation puts the density of states at the Fermi level at 6.64 states/eV/f.u. The value obtained for the calculated volume is 27.2 A^3/atom. The size of the total moment is 0.00 μB/f.u.

4.
ScInS3 after structural relaxation. Source: Alexandria via LeMat-Bulk, functional PBE-GGA.

abc: 4.9254 4.9254 4.9254
angles: 90.00 90.00 90.00
Fractional coordinates of all 5 atoms:
In1 0.0000 0.0000 0.0000
S1 0.5000 0.0000 0.0000
S2 0.0000 0.5000 0.0000
S3 0.0000 0.0000 0.5000
Sc1 0.5000 0.5000 0.5000

Properties
The calculation puts the electronic total energy at -4.4353 eV/atom. For the formation energy (no corrections), the calculation gives -0.145 eV per atom. The calculation puts the density of states at the Fermi level at 0.71 states/eV/f.u. The value obtained for the calculated volume is 23.9 A^3/atom. The energy above the most stable polymorph in this dataset comes out at 1053 meV/atom. The size of the total moment is 0.00 μB/f.u.

5.
Ni2MoAu after structural relaxation. Source: Alexandria via LeMat-Bulk, functional PBE-GGA.

abc: 2.7252 2.7252 7.4467
angles: 90.00 90.00 90.00
Fractional coordinates of all 4 atoms:
Ni1 0.0000 0.0000 0.0129
Mo1 0.5000 0.5000 0.7788
Ni2 0.5000 0.5000 0.2241
Au1 0.0000 0.0000 0.4842

Properties
The calculation puts the electronic total energy at -6.3034 eV/atom. As for the formation energy: 0.1144 eV/atom. The calculation puts the density of states at the Fermi level at 5.33 states/eV/f.u. The value obtained for the calculated volume is 13.8 A^3/atom. The size of the total moment is 0.00 μB/f.u.

6.
Ca2TlHg4Pb after structural relaxation. Source: Alexandria via LeMat-Bulk, functional PBE-GGA.

abc: 5.3276 5.3276 9.2149
angles: 73.20 73.20 60.00
Fractional coordinates of all 8 atoms:
Ca1 0.7497 0.7497 0.7508
Hg1 0.6259 0.6259 0.1224
Tl1 0.0000 0.0000 0.0000
Pb1 0.5000 0.5000 0.5000
Ca2 0.2503 0.2503 0.2492
Hg2 0.8762 0.8762 0.3715
Hg3 0.1238 0.1238 0.6285
Hg4 0.3741 0.3741 0.8776

Properties
The calculation puts the electronic total energy at -1.7548 eV/atom. As for the formation energy: -0.3442 eV/atom. The calculation puts the density of states at the Fermi level at 3.55 states/eV/f.u. The value obtained for the calculated volume is 26.7 A^3/atom. The size of the total moment is 0.00 μB/f.u.

7.
Sm2Y2Se2S3 after structural relaxation. Source: Alexandria via LeMat-Bulk, functional PBE-GGA.

abc: 5.4508 5.4508 8.1829
angles: 109.45 109.45 90.00
Fractional coordinates of all 9 atoms:
S1 0.7500 0.2500 0.5000
Y1 0.7959 0.7959 0.5918
Se1 0.3969 0.3969 0.7938
S2 0.2500 0.7500 0.5000
Se2 0.6031 0.6031 0.2062
Sm1 0.0000 0.5000 0.0000
Sm2 0.5000 0.0000 0.0000
Y2 0.2041 0.2041 0.4082
S3 0.0000 0.0000 0.0000

Properties
The calculation puts the electronic total energy at -6.3580 eV/atom. For the formation energy (no corrections), the calculation gives -1.723 eV per atom. The calculation puts the density of states at the Fermi level at 4.90 states/eV/f.u. The value obtained for the calculated volume is 23.8 A^3/atom. The size of the total moment is 0.00 μB/f.u.

8.
Hf12Sn6Pt after structural relaxation. Source: Alexandria via LeMat-Bulk, functional PBE-GGA.

abc: 7.9923 7.9923 7.9923
angles: 101.91 101.91 101.91
Fractional coordinates of all 19 atoms:
Sn1 0.6548 0.3449 0.1080
Hf1 0.7836 0.6094 0.4872
Hf2 0.5128 0.2164 0.3906
Hf3 0.4872 0.7836 0.6094
Sn2 0.1080 0.6548 0.3449
Hf4 0.3906 0.5128 0.2164
Sn3 0.6551 0.8920 0.3452
Hf5 0.6737 0.9538 0.0099
Hf6 0.0462 0.9901 0.3263
Sn4 0.8920 0.3452 0.6551
Hf7 0.0099 0.6737 0.9538
Hf8 0.2164 0.3906 0.5128
Hf9 0.9901 0.3263 0.0462
Pt1 0.0000 0.0000 0.0000
Hf10 0.3263 0.0462 0.9901
Hf11 0.9538 0.0099 0.6737
Hf12 0.6094 0.4872 0.7836
Sn5 0.3452 0.6551 0.8920
Sn6 0.3449 0.1080 0.6548

Properties
The calculation puts the electronic total energy at -7.8499 eV/atom. As for the formation energy: 0.0185 eV/atom. The calculation puts the density of states at the Fermi level at 14.71 states/eV/f.u. The value obtained for the calculated volume is 24.8 A^3/atom. The size of the total moment is 0.00 μB/f.u.

9.
Rb2ZnAgBr5 after structural relaxation. Source: Alexandria via LeMat-Bulk, functional PBE-GGA.

abc: 4.2627 10.7292 14.0307
angles: 90.00 90.00 101.46
Fractional coordinates of all 18 atoms:
Rb1 0.8652 0.7304 0.1879
Ag1 0.2247 0.4493 0.0425
Br1 0.2998 0.5995 0.6637
Br2 0.3502 0.7004 0.0013
Br3 0.6795 0.3590 0.8914
Rb2 0.8776 0.7552 0.8171
Br4 0.7002 0.4005 0.1637
Br5 0.5098 0.0197 0.7770
Br6 0.3205 0.6410 0.3914
Zn1 0.5670 0.1341 0.9272
Rb3 0.1348 0.2696 0.6879
Br7 0.6498 0.2997 0.5013
Ag2 0.7753 0.5507 0.5425
Rb4 0.1224 0.2448 0.3171
Br8 0.0389 0.0779 0.0158
Zn2 0.4330 0.8659 0.4272
Br9 0.9611 0.9221 0.5158
Br10 0.4902 0.9803 0.2770

Properties
The calculation puts the electronic total energy at -2.7443 eV/atom. For the formation energy (no corrections), the calculation gives -1.142 eV per atom. The calculation puts the density of states at the Fermi level at 0.00 states/eV/f.u. The value obtained for the calculated volume is 34.9 A^3/atom. The size of the total moment is 0.00 μB/f.u.

10.
Ti2NbW after structural relaxation. Source: Alexandria via LeMat-Bulk, functional PBE-GGA.

abc: 7.1559 7.1559 5.7628
angles: 51.62 51.62 90.00
Fractional coordinates of all 8 atoms:
Ti1 0.1162 0.6250 0.2500
Nb1 0.2500 0.7500 0.5000
Nb2 0.5000 0.5000 0.0000
Ti2 0.6338 0.1250 0.2500
W1 0.7500 0.2500 0.5000
Ti3 0.8750 0.8838 0.7500
Ti4 0.3750 0.3662 0.7500
W2 0.0000 0.0000 0.0000

Properties
The calculation puts the electronic total energy at -9.1374 eV/atom. As for the formation energy: 0.5657 eV/atom. The calculation puts the density of states at the Fermi level at 4.01 states/eV/f.u. The value obtained for the calculated volume is 17.7 A^3/atom. The energy above the most stable polymorph in this dataset comes out at 574 meV/atom. The size of the total moment is 0.00 μB/f.u.